## Sr3NiGe2O8 (PBE+U)

Data for a relaxed structure of Sr3NiGe2O8.

Properties
Calculated total energy: -6.22 eV per atom
Total moment: 1.95 μB/f.u.

a b c (Å): 5.6235 5.6235 7.1155
angles (deg): 90.00 90.00 120.00
Element x y z (fractional)
Sr (0.0000, 0.0000, 0.0000)
Sr (0.3333, 0.6667, 0.6467)
Sr (0.6667, 0.3333, 0.3533)
Ni (0.0000, 0.0000, 0.5000)
Ge (0.3333, 0.6667, 0.2125)
Ge (0.6667, 0.3333, 0.7875)
O (0.1664, 0.3327, 0.3149)
O (0.1664, 0.8336, 0.3149)
O (0.3327, 0.1664, 0.6851)
O (0.3333, 0.6667, 0.9708)
O (0.6667, 0.3333, 0.0292)
O (0.6673, 0.8336, 0.3149)
O (0.8336, 0.1664, 0.6851)
O (0.8336, 0.6673, 0.6851)